Entry 1:
Pa2In8Cu | GGA-PBE | relaxed

Summary:
- Energy of formation: -0.091 eV per atom
- Space-group type: P4/mmm, No. 123
- Crystal system: tetragonal
- Theoretical density: 8.98 g/cm3

Cell and atoms, written as CIF:
```
data_Pa2In8Cu
_symmetry_space_group_name_H-M 'P 1'
_symmetry_Int_Tables_number 1
_symmetry_space_group_name_Hall 'P 1'
_cell_length_a 4.6807
_cell_length_b 4.6807
_cell_length_c 12.1849
_cell_angle_alpha 90.00
_cell_angle_beta 90.00
_cell_angle_gamma 90.00
loop_
_atom_site_label
_atom_site_fract_x
_atom_site_fract_y
_atom_site_fract_z
Pa1 0.0000 0.0000 0.1885
Pa2 0.0000 0.0000 0.8115
In1 0.0000 0.5000 0.0000
In2 0.0000 0.5000 0.3750
In3 0.0000 0.5000 0.6250
In4 0.5000 0.0000 0.0000
In5 0.5000 0.0000 0.3750
In6 0.5000 0.0000 0.6250
In7 0.5000 0.5000 0.1875
In8 0.5000 0.5000 0.8125
Cu1 0.0000 0.0000 0.5000
```

---

Entry 2:
ZrCu4Cl | GGA-PBE | relaxed

Summary:
- Space-group type: F-43m, No. 216
- Formation energy from raw total energies: 79 kJ/mol of formula units
- Crystal system: cubic
- Theoretical density: 6.93 g/cm3

Cell and atoms, written as CIF:
```
data_ZrCu4Cl
_symmetry_space_group_name_H-M 'P 1'
_symmetry_Int_Tables_number 1
_symmetry_space_group_name_Hall 'P 1'
_cell_length_a 5.0546
_cell_length_b 5.0546
_cell_length_c 5.0546
_cell_angle_alpha 60.00
_cell_angle_beta 60.00
_cell_angle_gamma 60.00
loop_
_atom_site_label
_atom_site_fract_x
_atom_site_fract_y
_atom_site_fract_z
Zr1 0.0000 0.0000 0.0000
Cu1 0.3749 0.3749 0.3749
Cu2 0.3749 0.3749 0.8753
Cu3 0.3749 0.8753 0.3749
Cu4 0.8753 0.3749 0.3749
Cl1 0.7500 0.7500 0.7500
```

---

Entry 3:
HfZn2BRh | GGA-PBE | relaxed

Summary:
- Energy of formation: -0.022 eV per atom
- Space-group type: P4/mmm, No. 123
- Crystal system: tetragonal
- Theoretical density: 9.41 g/cm3

Cell and atoms, written as CIF:
```
data_HfZn2BRh
_symmetry_space_group_name_H-M 'P 1'
_symmetry_Int_Tables_number 1
_symmetry_space_group_name_Hall 'P 1'
_cell_length_a 4.0215
_cell_length_b 4.0215
_cell_length_c 4.6182
_cell_angle_alpha 90.00
_cell_angle_beta 90.00
_cell_angle_gamma 90.00
loop_
_atom_site_label
_atom_site_fract_x
_atom_site_fract_y
_atom_site_fract_z
Hf1 0.0000 0.0000 0.0000
Zn1 0.0000 0.5000 0.5000
Zn2 0.5000 0.0000 0.5000
B1 0.0000 0.0000 0.5000
Rh1 0.5000 0.5000 0.0000
```

---

Entry 4:
YTh4Se5 | GGA-PBE | relaxed

Summary:
- Space-group type: I4/m, No. 87
- Formation energy from raw total energies: -1521 kJ/mol of formula units
- Crystal system: tetragonal
- Theoretical density: 9.06 g/cm3

Cell and atoms, written as CIF:
```
data_YTh4Se5
_symmetry_space_group_name_H-M 'P 1'
_symmetry_Int_Tables_number 1
_symmetry_space_group_name_Hall 'P 1'
_cell_length_a 7.2472
_cell_length_b 7.2472
_cell_length_c 7.2472
_cell_angle_alpha 99.58
_cell_angle_beta 99.58
_cell_angle_gamma 131.84
loop_
_atom_site_label
_atom_site_fract_x
_atom_site_fract_y
_atom_site_fract_z
Y1 0.0000 0.0000 0.0000
Th1 0.1942 0.5957 0.7899
Th2 0.4043 0.1942 0.5984
Th3 0.5957 0.8058 0.4016
Th4 0.8058 0.4043 0.2101
Se1 0.1017 0.2895 0.3913
Se2 0.2895 0.8982 0.1878
Se3 0.5000 0.5000 0.0000
Se4 0.7105 0.1017 0.8122
Se5 0.8982 0.7105 0.6087
```

---

Entry 5:
Rb3In8Ga3 | GGA-PBE | relaxed

Summary:
- Energy of formation: -0.040 eV per atom
- Space-group type: C2/m, No. 12
- Crystal system: monoclinic
- Theoretical density: 5.50 g/cm3
- E above lowest polymorph: 0 meV per atom

Cell and atoms, written as CIF:
```
data_Rb3In8Ga3
_symmetry_space_group_name_H-M 'P 1'
_symmetry_Int_Tables_number 1
_symmetry_space_group_name_Hall 'P 1'
_cell_length_a 9.5649
_cell_length_b 9.5649
_cell_length_c 10.9953
_cell_angle_alpha 124.75
_cell_angle_beta 124.75
_cell_angle_gamma 31.01
loop_
_atom_site_label
_atom_site_fract_x
_atom_site_fract_y
_atom_site_fract_z
Rb1 0.0000 0.0000 0.0000
Rb2 0.2986 0.2986 0.2989
Rb3 0.7014 0.7014 0.7011
In1 0.1385 0.1385 0.8527
In2 0.1523 0.1523 0.4277
In3 0.3407 0.3407 0.9721
In4 0.4952 0.4952 0.6843
In5 0.5048 0.5048 0.3157
In6 0.6593 0.6593 0.0279
In7 0.8477 0.8477 0.5723
In8 0.8615 0.8615 0.1473
Ga1 0.0000 0.0000 0.5000
Ga2 0.3395 0.3395 0.7026
Ga3 0.6605 0.6605 0.2974
```

---

Entry 6:
Mn2ZnCo | GGA-PBE | relaxed

Summary:
- Energy of formation: 0.048 eV per atom
- Space-group type: P4/mmm, No. 123
- Crystal system: tetragonal
- Theoretical density: 7.70 g/cm3

Cell and atoms, written as CIF:
```
data_Mn2ZnCo
_symmetry_space_group_name_H-M 'P 1'
_symmetry_Int_Tables_number 1
_symmetry_space_group_name_Hall 'P 1'
_cell_length_a 4.1394
_cell_length_b 4.1394
_cell_length_c 2.9479
_cell_angle_alpha 90.00
_cell_angle_beta 90.00
_cell_angle_gamma 90.00
loop_
_atom_site_label
_atom_site_fract_x
_atom_site_fract_y
_atom_site_fract_z
Mn1 0.0000 0.5000 0.0000
Mn2 0.5000 0.0000 0.0000
Zn1 0.0000 0.0000 0.5000
Co1 0.5000 0.5000 0.5000
```

---

Entry 7:
PaBe4Au8 | GGA-PBE | relaxed

Summary:
- Energy of formation: -0.167 eV per atom
- Space-group type: I4/mmm, No. 139
- Crystal system: tetragonal
- Theoretical density: 14.63 g/cm3

Cell and atoms, written as CIF:
```
data_PaBe4Au8
_symmetry_space_group_name_H-M 'P 1'
_symmetry_Int_Tables_number 1
_symmetry_space_group_name_Hall 'P 1'
_cell_length_a 6.8303
_cell_length_b 6.8303
_cell_length_c 6.8303
_cell_angle_alpha 98.55
_cell_angle_beta 98.55
_cell_angle_gamma 134.65
loop_
_atom_site_label
_atom_site_fract_x
_atom_site_fract_y
_atom_site_fract_z
Pa1 0.0000 0.0000 0.0000
Be1 0.0000 0.0000 0.5000
Be2 0.0000 0.5000 0.0000
Be3 0.5000 0.0000 0.0000
Be4 0.5000 0.5000 0.5000
Au1 0.0000 0.3272 0.3272
Au2 0.0000 0.6728 0.6728
Au3 0.2791 0.5000 0.7791
Au4 0.3272 0.0000 0.3272
Au5 0.5000 0.2791 0.7791
Au6 0.5000 0.7209 0.2209
Au7 0.6728 0.0000 0.6728
Au8 0.7209 0.5000 0.2209
```

---

Entry 8:
KFe2N | GGA-PBE | relaxed

Summary:
- Space-group type: Fd-3m, No. 227
- Formation energy from raw total energies: 109 kJ/mol of formula units
- Crystal system: cubic
- Theoretical density: 3.44 g/cm3

Cell and atoms, written as CIF:
```
data_KFe2N
_symmetry_space_group_name_H-M 'P 1'
_symmetry_Int_Tables_number 1
_symmetry_space_group_name_Hall 'P 1'
_cell_length_a 6.0809
_cell_length_b 6.0809
_cell_length_c 6.0809
_cell_angle_alpha 60.00
_cell_angle_beta 60.00
_cell_angle_gamma 60.00
loop_
_atom_site_label
_atom_site_fract_x
_atom_site_fract_y
_atom_site_fract_z
K1 0.1250 0.1250 0.1250
K2 0.8750 0.8750 0.8750
Fe1 0.0000 0.5000 0.5000
Fe2 0.5000 0.0000 0.5000
Fe3 0.5000 0.5000 0.0000
Fe4 0.5000 0.5000 0.5000
N1 0.3750 0.3750 0.3750
N2 0.6250 0.6250 0.6250
```

---

What did the eighth record say?
KFe2N | GGA-PBE | relaxed

Summary:
- Space-group type: Fd-3m, No. 227
- Formation energy from raw total energies: 109 kJ/mol of formula units
- Crystal system: cubic
- Theoretical density: 3.44 g/cm3

Cell and atoms, written as CIF:
```
data_KFe2N
_symmetry_space_group_name_H-M 'P 1'
_symmetry_Int_Tables_number 1
_symmetry_space_group_name_Hall 'P 1'
_cell_length_a 6.0809
_cell_length_b 6.0809
_cell_length_c 6.0809
_cell_angle_alpha 60.00
_cell_angle_beta 60.00
_cell_angle_gamma 60.00
loop_
_atom_site_label
_atom_site_fract_x
_atom_site_fract_y
_atom_site_fract_z
K1 0.1250 0.1250 0.1250
K2 0.8750 0.8750 0.8750
Fe1 0.0000 0.5000 0.5000
Fe2 0.5000 0.0000 0.5000
Fe3 0.5000 0.5000 0.0000
Fe4 0.5000 0.5000 0.5000
N1 0.3750 0.3750 0.3750
N2 0.6250 0.6250 0.6250
```